1.
The following is a PBE-GGA calculation of an optimized crystal structure of MnRhBr2, from Alexandria via LeMat-Bulk.

Output
* offset from the most stable computed form: 0.000 eV/atom
* ΔE_f (raw): -0.14 eV per atom
* symmetry: Cm (8)
* DFT total energy: -5.11 eV/atom
* Fermi-level density of states: 2.34 states/eV/cell

a = 3.912 Å, b = 3.912 Å, c = 7.399 Å
α = 89.54°, β = 89.54°, γ = 60.06°
Fractional positions:
Br 0.127 0.127 0.103
Br 0.789 0.789 0.638
Mn 0.459 0.459 0.304
Rh 0.124 0.124 0.455

2.
The following is a PBE-GGA calculation of an optimized crystal structure of LaTbY2Tm2, from Alexandria via LeMat-Bulk.

Output
* symmetry: Pnnm (58)
* DFT total energy: -4.97 eV/atom
* Fermi-level density of states: 20.29 states/eV/cell
* DFT formation energy: 0.27 eV/atom

a = 3.403 Å, b = 6.499 Å, c = 18.007 Å
α = 90.00°, β = 90.00°, γ = 90.00°
Fractional positions:
Y 0.500 0.714 0.310
Y 0.000 0.214 0.190
Y 0.000 0.786 0.810
Y 0.500 0.286 0.690
Tm 0.000 0.288 0.854
Tm 0.500 0.788 0.646
Tm 0.000 0.712 0.146
Tm 0.500 0.212 0.354
La 0.000 0.000 0.000
La 0.500 0.500 0.500
Tb 0.000 0.000 0.500
Tb 0.500 0.500 0.000

3.
The following is a PBE-GGA calculation of an optimized crystal structure of AcZn2Pt, from Alexandria via LeMat-Bulk.

Output
* offset from the most stable computed form: 0.000 eV/atom
* symmetry: Cmcm (63)
* DFT total energy: -3.84 eV/atom
* Fermi-level density of states: 4.09 states/eV/cell
* DFT formation energy: -0.67 eV/atom

a = 4.222 Å, b = 5.749 Å, c = 7.822 Å
α = 90.00°, β = 90.00°, γ = 111.54°
Fractional positions:
Pt 0.779 0.559 0.750
Pt 0.221 0.441 0.250
Zn 0.659 0.318 0.445
Zn 0.341 0.682 0.555
Zn 0.341 0.682 0.945
Zn 0.659 0.318 0.055
Ac 0.938 0.875 0.250
Ac 0.062 0.125 0.750

4.
The following is a PBE-GGA calculation of an optimized crystal structure of Dy2Ge2Pd5, from Alexandria via LeMat-Bulk.

Output
* symmetry: P4/mmm (123)
* DFT total energy: -5.78 eV/atom
* Fermi-level density of states: 3.19 states/eV/cell
* DFT formation energy: -0.85 eV/atom

a = 4.218 Å, b = 4.218 Å, c = 9.126 Å
α = 90.00°, β = 90.00°, γ = 90.00°
Fractional positions:
Pd 0.500 0.500 0.500
Pd 0.000 0.500 0.276
Pd 0.500 0.000 0.276
Pd 0.500 0.000 0.724
Pd 0.000 0.500 0.724
Dy 0.000 0.000 0.500
Dy 0.000 0.000 0.000
Ge 0.500 0.500 0.134
Ge 0.500 0.500 0.866

5.
The following is a PBE-GGA calculation of an optimized crystal structure of CsAuI2O8, from Alexandria via LeMat-Bulk.

Output
* ΔE_f (raw): -0.30 eV per atom
* symmetry: C2/m (12)
* DFT total energy: -4.20 eV/atom
* Fermi-level density of states: 1.55 states/eV/cell

a = 5.910 Å, b = 6.805 Å, c = 8.041 Å
α = 63.83°, β = 68.44°, γ = 64.26°
Fractional positions:
O 0.870 0.960 0.809
O 0.318 0.438 0.925
O 0.137 0.397 0.328
O 0.130 0.040 0.191
O 0.863 0.603 0.672
O 0.361 0.960 0.809
O 0.682 0.562 0.075
O 0.639 0.040 0.191
I 0.300 0.236 0.164
I 0.700 0.764 0.836
Au 0.000 0.000 0.000
Cs 0.500 0.500 0.500

6.
The following is a PBE-GGA calculation of an optimized crystal structure of Li2SnGe2, from Alexandria via LeMat-Bulk.

Output
* offset from the most stable computed form: 0.000 eV/atom
* symmetry: P4/mbm (127)
* DFT total energy: -3.60 eV/atom
* Fermi-level density of states: 2.96 states/eV/cell
* DFT formation energy: -0.18 eV/atom

a = 7.750 Å, b = 7.750 Å, c = 3.122 Å
α = 90.00°, β = 90.00°, γ = 90.00°
Fractional positions:
Ge 0.384 0.884 0.000
Ge 0.616 0.116 0.000
Ge 0.116 0.384 0.000
Ge 0.884 0.616 0.000
Li 0.682 0.818 0.500
Li 0.318 0.182 0.500
Li 0.818 0.318 0.500
Li 0.182 0.682 0.500
Sn 0.500 0.500 0.000
Sn 0.000 0.000 0.000

7.
The following is a PBE-GGA calculation of an optimized crystal structure of LaCo2Tc, from Alexandria via LeMat-Bulk.

Output
* offset from the most stable computed form: 0.266 eV/atom
* symmetry: Pm (6)
* DFT total energy: -7.08 eV/atom
* Fermi-level density of states: 5.31 states/eV/cell
* DFT formation energy: 0.29 eV/atom

a = 4.107 Å, b = 3.387 Å, c = 5.188 Å
α = 76.16°, β = 90.00°, γ = 90.00°
Fractional positions:
Co 0.500 0.133 0.217
Co 0.000 0.086 0.948
La 0.000 0.518 0.447
Tc 0.500 0.763 0.888

8.
The following is a PBE-GGA calculation of an optimized crystal structure of Fe3AgP, from Alexandria via LeMat-Bulk.

Output
* offset from the most stable computed form: 0.000 eV/atom
* symmetry: Pm-3m (221)
* DFT total energy: -6.40 eV/atom
* Fermi-level density of states: 9.71 states/eV/cell
* DFT formation energy: 0.33 eV/atom

a = 4.213 Å, b = 4.213 Å, c = 4.213 Å
α = 90.00°, β = 90.00°, γ = 90.00°
Fractional positions:
Fe 0.000 0.000 0.500
Fe 0.500 0.000 0.000
Fe 0.000 0.500 0.000
Ag 0.500 0.500 0.500
P 0.000 0.000 0.000

9.
The following is a PBE-GGA calculation of an optimized crystal structure of Pm2TeP, from Alexandria via LeMat-Bulk.

Output
* offset from the most stable computed form: 0.497 eV/atom
* ΔE_f (raw): -1.09 eV per atom
* symmetry: P4/mmm (123)
* DFT total energy: -5.61 eV/atom
* Fermi-level density of states: 3.09 states/eV/cell

a = 3.735 Å, b = 5.257 Å, c = 5.257 Å
α = 90.00°, β = 90.00°, γ = 90.00°
Fractional positions:
Pm 0.000 0.500 0.000
Pm 0.000 0.000 0.500
Te 0.500 0.000 0.000
P 0.500 0.500 0.500

10.
The following is a PBE-GGA calculation of an optimized crystal structure of Ho4Tl3O, from Alexandria via LeMat-Bulk.

Output
* ΔE_f (raw): -0.78 eV per atom
* symmetry: Pmn2_1 (31)
* DFT total energy: -4.58 eV/atom
* Fermi-level density of states: 7.04 states/eV/cell

a = 6.984 Å, b = 8.920 Å, c = 7.263 Å
α = 90.00°, β = 90.00°, γ = 90.00°
Fractional positions:
Ho 0.164 0.220 0.763
Ho 0.045 0.890 0.000
Ho 0.545 0.110 0.500
Ho 0.225 0.735 0.500
Ho 0.664 0.780 0.263
Ho 0.725 0.265 0.000
Ho 0.164 0.220 0.237
Ho 0.664 0.780 0.737
O 0.000 0.138 0.000
O 0.500 0.862 0.500
Tl 0.477 0.464 0.281
Tl 0.462 0.995 0.000
Tl 0.977 0.536 0.781
Tl 0.962 0.005 0.500
Tl 0.977 0.536 0.219
Tl 0.477 0.464 0.719

11.
The following is a PBE-GGA calculation of an optimized crystal structure of Pu2BeGaAu6, from Alexandria via LeMat-Bulk.

Output
* symmetry: P-1 (2)
* DFT total energy: -5.76 eV/atom
* Fermi-level density of states: 29.94 states/eV/cell
* DFT formation energy: -0.25 eV/atom

a = 6.315 Å, b = 7.049 Å, c = 6.376 Å
α = 63.00°, β = 60.00°, γ = 88.69°
Fractional positions:
Be 0.000 0.000 0.000
Au 0.215 0.195 0.067
Au 0.785 0.805 0.933
Au 0.779 0.800 0.477
Au 0.221 0.200 0.523
Au 0.670 0.153 0.089
Au 0.330 0.847 0.911
Pu 0.235 0.649 0.556
Pu 0.765 0.351 0.444
Ga 0.500 0.500 0.000

12.
The following is a PBE-GGA calculation of an optimized crystal structure of Pm3Nd4Sc2, from Alexandria via LeMat-Bulk.

Output
* offset from the most stable computed form: 0.011 eV/atom
* symmetry: C2/m (12)
* DFT total energy: -4.99 eV/atom
* Fermi-level density of states: 15.24 states/eV/cell
* DFT formation energy: 0.12 eV/atom

a = 3.659 Å, b = 7.311 Å, c = 12.867 Å
α = 64.81°, β = 90.00°, γ = 104.49°
Fractional positions:
Sc 0.696 0.392 0.816
Sc 0.304 0.608 0.184
Nd 0.100 0.200 0.653
Nd 0.640 0.281 0.115
Nd 0.900 0.800 0.347
Nd 0.360 0.719 0.885
Pm 0.383 0.766 0.605
Pm 0.000 0.000 0.000
Pm 0.617 0.234 0.395

13.
The following is a PBE-GGA calculation of an optimized crystal structure of Na3TiS, from Alexandria via LeMat-Bulk.

Output
* offset from the most stable computed form: 0.000 eV/atom
* ΔE_f (raw): 0.33 eV per atom
* symmetry: Pm-3m (221)
* DFT total energy: -2.86 eV/atom
* Fermi-level density of states: 21.12 states/eV/cell

a = 5.353 Å, b = 5.353 Å, c = 5.353 Å
α = 90.00°, β = 90.00°, γ = 90.00°
Fractional positions:
Ti 0.500 0.500 0.500
S 0.000 0.000 0.000
Na 0.500 0.000 0.000
Na 0.000 0.000 0.500
Na 0.000 0.500 0.000

14.
The following is a PBE-GGA calculation of an optimized crystal structure of YNiHg2, from Alexandria via LeMat-Bulk.

Output
* symmetry: I-42d (122)
* DFT total energy: -3.20 eV/atom
* Fermi-level density of states: 6.23 states/eV/cell
* DFT formation energy: 0.01 eV/atom

a = 4.195 Å, b = 4.195 Å, c = 10.823 Å
α = 78.83°, β = 78.83°, γ = 90.00°
Fractional positions:
Hg 0.601 0.125 0.250
Hg 0.149 0.625 0.250
Hg 0.875 0.851 0.750
Hg 0.375 0.399 0.750
Y 0.000 0.000 0.000
Y 0.750 0.250 0.500
Ni 0.500 0.500 0.000
Ni 0.250 0.750 0.500

15.
The following is a PBE-GGA calculation of an optimized crystal structure of TmPaFe2, from Alexandria via LeMat-Bulk.

Output
* offset from the most stable computed form: 0.099 eV/atom
* symmetry: Fm-3m (225)
* DFT total energy: -7.72 eV/atom
* Fermi-level density of states: 3.53 states/eV/cell
* DFT formation energy: 0.01 eV/atom

a = 4.676 Å, b = 4.676 Å, c = 4.676 Å
α = 60.00°, β = 60.00°, γ = 60.00°
Fractional positions:
Tm 0.500 0.500 0.500
Fe 0.750 0.750 0.750
Fe 0.250 0.250 0.250
Pa 0.000 0.000 0.000

16.
The following is a PBE-GGA calculation of an optimized crystal structure of YbPaRh2, from Alexandria via LeMat-Bulk.

Output
* symmetry: Fm-3m (225)
* DFT total energy: -7.07 eV/atom
* Fermi-level density of states: 3.48 states/eV/cell
* DFT formation energy: -0.64 eV/atom

a = 4.848 Å, b = 4.848 Å, c = 4.848 Å
α = 60.00°, β = 60.00°, γ = 60.00°
Fractional positions:
Pa 0.500 0.500 0.500
Rh 0.250 0.250 0.250
Rh 0.750 0.750 0.750
Yb 0.000 0.000 0.000

17.
The following is a PBE-GGA calculation of an optimized crystal structure of Ga2CuSn2, from Alexandria via LeMat-Bulk.

Output
* offset from the most stable computed form: 0.058 eV/atom
* symmetry: P4/mbm (127)
* DFT total energy: -3.47 eV/atom
* Fermi-level density of states: 5.95 states/eV/cell
* DFT formation energy: 0.16 eV/atom

a = 6.964 Å, b = 6.964 Å, c = 4.763 Å
α = 90.00°, β = 90.00°, γ = 90.00°
Fractional positions:
Sn 0.657 0.157 0.000
Sn 0.157 0.343 0.000
Sn 0.843 0.657 0.000
Sn 0.343 0.843 0.000
Cu 0.500 0.500 0.000
Cu 0.000 0.000 0.000
Ga 0.654 0.846 0.500
Ga 0.846 0.346 0.500
Ga 0.346 0.154 0.500
Ga 0.154 0.654 0.500

18.
The following is a PBE-GGA calculation of an optimized crystal structure of ZnS2O, from Alexandria via LeMat-Bulk.

Output
* offset from the most stable computed form: 0.755 eV/atom
* ΔE_f (raw): 0.74 eV per atom
* symmetry: Fm-3m (225)
* DFT total energy: -2.88 eV/atom
* Fermi-level density of states: 3.15 states/eV/cell

a = 4.228 Å, b = 4.228 Å, c = 4.228 Å
α = 60.00°, β = 60.00°, γ = 60.00°
Fractional positions:
S 0.250 0.250 0.250
S 0.750 0.750 0.750
Zn 0.500 0.500 0.500
O 0.000 0.000 0.000

19.
The following is a PBE-GGA calculation of an optimized crystal structure of Pa2B2Os3, from Alexandria via LeMat-Bulk.

Output
* symmetry: C2/m (12)
* DFT total energy: -9.72 eV/atom
* Fermi-level density of states: 3.81 states/eV/cell
* DFT formation energy: -0.28 eV/atom

a = 3.134 Å, b = 5.428 Å, c = 7.327 Å
α = 118.45°, β = 90.00°, γ = 106.78°
Fractional positions:
Os 0.625 0.250 0.453
Os 0.375 0.750 0.547
Os 0.500 0.000 0.000
Pa 0.846 0.692 0.189
Pa 0.154 0.308 0.811
B 0.144 0.289 0.246
B 0.856 0.711 0.754

20.
The following is a PBE-GGA calculation of an optimized crystal structure of AcNdRu4, from Alexandria via LeMat-Bulk.

Output
* symmetry: F-43m (216)
* DFT total energy: -7.69 eV/atom
* Fermi-level density of states: 10.07 states/eV/cell
* DFT formation energy: -0.03 eV/atom

a = 5.494 Å, b = 5.494 Å, c = 5.494 Å
α = 60.00°, β = 60.00°, γ = 60.00°
Fractional positions:
Ru 0.625 0.625 0.625
Ru 0.124 0.625 0.625
Ru 0.625 0.625 0.124
Ru 0.625 0.124 0.625
Nd 0.000 0.000 0.000
Ac 0.250 0.250 0.250